1.
{"formula": "ErCoGe3", "functional": "PBE", "state": "relaxed", "cell": [[4.019, 0.000, 0.000], [0.000, 8.387, 0.000], [0.000, 0.000, 10.296]], "species": ["Ge", "Ge", "Ge", "Ge", "Ge", "Ge", "Ge", "Ge", "Ge", "Ge", "Ge", "Ge", "Er", "Er", "Er", "Er", "Co", "Co", "Co", "Co"], "fractional_positions": [[0.250, 0.315, 0.252], [0.750, 0.185, 0.752], [0.750, 0.946, 0.582], [0.250, 0.815, 0.248], [0.750, 0.446, 0.918], [0.250, 0.886, 0.831], [0.250, 0.386, 0.669], [0.250, 0.054, 0.418], [0.750, 0.114, 0.169], [0.250, 0.554, 0.082], [0.750, 0.685, 0.748], [0.750, 0.614, 0.331], [0.750, 0.802, 0.038], [0.250, 0.698, 0.538], [0.750, 0.302, 0.462], [0.250, 0.198, 0.962], [0.750, 0.918, 0.345], [0.250, 0.082, 0.655], [0.250, 0.582, 0.845], [0.750, 0.418, 0.155]], "density_g_cm3": 8.50, "crystal_system": "orthorhombic", "dft_energy_ev_per_cell": -111.47, "magnetic_moment_mub_per_atom": 0.000, "formation_energy_mev_per_atom": -469}

2.
{"formula": "ErCo2Ge3", "functional": "PBE", "state": "relaxed", "cell": [[-1.332, 0.138, -5.175], [-5.619, -1.560, 1.405], [-0.290, 5.987, 0.234]], "species": ["Ge", "Ge", "Ge", "Ge", "Ge", "Ge", "Co", "Co", "Co", "Co", "Er", "Er"], "fractional_positions": [[0.750, 0.121, 0.462], [0.250, 0.972, 0.972], [0.250, 0.538, 0.879], [0.750, 0.028, 0.028], [0.250, 0.879, 0.538], [0.750, 0.462, 0.121], [0.500, 0.211, 0.789], [0.000, 0.211, 0.789], [0.000, 0.789, 0.211], [0.500, 0.789, 0.211], [0.750, 0.652, 0.652], [0.250, 0.348, 0.348]], "density_g_cm3": 8.88, "crystal_system": "orthorhombic", "dft_energy_ev_per_cell": -69.60, "magnetic_moment_mub_per_atom": 0.000, "formation_energy_mev_per_atom": -363, "e_above_lowest_polymorph_mev_per_atom": 78}